# 1
# CsSn3As3 (PBE, relaxed)
# Total DFT energy (no corrections) (eV per atom): -3.933
# ΔE_f (eV per atom): -0.10
# Volume (Å³ per cell): 505
# Distance to the lowest polymorph of the same formula (meV/atom): 56
data_CsSn3As3
_chemical_formula_sum 'Cs2 Sn6 As6'
_space_group_name_H-M_alt 'P m -3 n'
_space_group_IT_number 223
_space_group_name_Hall '-P 4n 2 3'
_cell_length_a 7.963
_cell_length_b 7.963
_cell_length_c 7.963
_cell_angle_alpha 90.00
_cell_angle_beta 90.00
_cell_angle_gamma 90.00
loop_
_atom_site_label
_atom_site_fract_x
_atom_site_fract_y
_atom_site_fract_z
_atom_site_occupancy
Cs1 0.000 0.000 0.000 1
Sn1 0.000 0.250 0.500 1
As1 0.000 0.500 0.250 1

# 2
# Cs2Sn2As (PBE, relaxed)
# Total DFT energy (no corrections) (eV per atom): -2.962
# ΔE_f (eV per atom): -0.09
# Volume (Å³ per cell): 381
# Distance to the lowest polymorph of the same formula (meV/atom): 78
data_Cs2Sn2As
_chemical_formula_sum 'Cs4 Sn4 As2'
_space_group_name_H-M_alt 'P 4/m b m'
_space_group_IT_number 127
_space_group_name_Hall '-P 4 2ab'
_cell_length_a 7.706
_cell_length_b 7.706
_cell_length_c 6.422
_cell_angle_alpha 90.00
_cell_angle_beta 90.00
_cell_angle_gamma 90.00
loop_
_atom_site_label
_atom_site_fract_x
_atom_site_fract_y
_atom_site_fract_z
_atom_site_occupancy
Cs1 0.186 0.314 0.000 1
Sn1 0.137 0.637 0.500 1
As1 0.000 0.000 0.500 1

# 3
# Cs2SrSnAs (PBE, relaxed)
# Total DFT energy (no corrections) (eV per atom): -2.324
# ΔE_f (eV per atom): 0.08
# Volume (Å³ per cell): 280
data_Cs2SrSnAs
_chemical_formula_sum 'Cs2 Sr1 Sn1 As1'
_space_group_name_H-M_alt 'P 4/m m m'
_space_group_IT_number 123
_space_group_name_Hall '-P 4 2'
_cell_length_a 7.114
_cell_length_b 7.114
_cell_length_c 5.543
_cell_angle_alpha 90.00
_cell_angle_beta 90.00
_cell_angle_gamma 90.00
loop_
_atom_site_label
_atom_site_fract_x
_atom_site_fract_y
_atom_site_fract_z
_atom_site_occupancy
Cs1 0.000 0.500 0.000 1
Sr1 0.000 0.000 0.500 1
Sn1 0.500 0.500 0.500 1
As1 0.500 0.500 0.000 1

# 4
# Cs2SnTe4As (PBE, relaxed)
# Total DFT energy (no corrections) (eV per atom): -3.363
# Volume (Å³ per cell): 2911
# Raw formation energy (eV/atom): -0.497
data_Cs2SnTe4As
_chemical_formula_sum 'Cs16 Sn8 Te32 As8'
_space_group_name_H-M_alt 'F d d d'
_space_group_IT_number 70
_cell_length_a 7.037
_cell_length_b 15.980
_cell_length_c 25.888
_cell_angle_alpha 90.00
_cell_angle_beta 90.00
_cell_angle_gamma 90.00
loop_
_space_group_symop_operation_xyz
'x,y,z'
'-x,-y,-z'
'-x+1/4,-y+1/4,z'
'x+1/4,y+1/4,-z'
'x,-y+1/4,-z+1/4'
'-x,y+1/4,z+1/4'
'-x+1/4,y,-z+1/4'
'x+1/4,-y,z+1/4'
'x,y+1/2,z+1/2'
'-x,-y+1/2,-z+1/2'
'-x+1/4,-y+3/4,z+1/2'
'x+1/4,y+3/4,-z+1/2'
'x,-y+3/4,-z+3/4'
'-x,y+3/4,z+3/4'
'-x+1/4,y+1/2,-z+3/4'
'x+1/4,-y+1/2,z+3/4'
'x+1/2,y,z+1/2'
'-x+1/2,-y,-z+1/2'
'-x+3/4,-y+1/4,z+1/2'
'x+3/4,y+1/4,-z+1/2'
'x+1/2,-y+1/4,-z+3/4'
'-x+1/2,y+1/4,z+3/4'
'-x+3/4,y,-z+3/4'
'x+3/4,-y,z+3/4'
'x+1/2,y+1/2,z'
'-x+1/2,-y+1/2,-z'
'-x+3/4,-y+3/4,z'
'x+3/4,y+3/4,-z'
'x+1/2,-y+3/4,-z+1/4'
'-x+1/2,y+3/4,z+1/4'
'-x+3/4,y+1/2,-z+1/4'
'x+3/4,-y+1/2,z+1/4'
loop_
_atom_site_label
_atom_site_fract_x
_atom_site_fract_y
_atom_site_fract_z
_atom_site_occupancy
Cs1 0.125 0.125 0.311 1
Sn1 0.125 0.125 0.625 1
Te1 0.107 0.275 0.438 1
As1 0.125 0.125 0.125 1

# 5
# CsSnTe3As (PBE, relaxed)
# Total DFT energy (no corrections) (eV per atom): -3.555
# Volume (Å³ per cell): 470
# Raw formation energy (eV/atom): -0.400
data_CsSnTe3As
_chemical_formula_sum 'Cs2 Sn2 Te6 As2'
_space_group_name_H-M_alt 'P 1 21/m 1'
_space_group_IT_number 11
_cell_length_a 9.905
_cell_length_b 4.332
_cell_length_c 11.867
_cell_angle_alpha 90.00
_cell_angle_beta 112.51
_cell_angle_gamma 90.00
loop_
_space_group_symop_operation_xyz
'x,y,z'
'-x,-y,-z'
'-x,y+1/2,-z'
'x,-y+1/2,z'
loop_
_atom_site_label
_atom_site_fract_x
_atom_site_fract_y
_atom_site_fract_z
_atom_site_occupancy
Cs1 0.221 0.250 0.267 1
Sn1 0.131 0.250 0.560 1
Te1 0.148 0.250 0.809 1
Te2 0.346 0.750 0.586 1
Te3 0.420 0.750 0.101 1
As1 0.369 0.750 0.856 1

# 6
# CsTlSnAs2 (PBE, relaxed)
# Total DFT energy (no corrections) (eV per atom): -3.127
# ΔE_f (eV per atom): 0.18
# Volume (Å³ per cell): 181
# Distance to the lowest polymorph of the same formula (meV/atom): 372
data_CsTlSnAs2
_chemical_formula_sum 'Cs1 Tl1 Sn1 As2'
_space_group_name_H-M_alt 'P 4/m m m'
_space_group_IT_number 123
_space_group_name_Hall '-P 4 2'
_cell_length_a 5.528
_cell_length_b 5.528
_cell_length_c 5.909
_cell_angle_alpha 90.00
_cell_angle_beta 90.00
_cell_angle_gamma 90.00
loop_
_atom_site_label
_atom_site_fract_x
_atom_site_fract_y
_atom_site_fract_z
_atom_site_occupancy
Cs1 0.000 0.000 0.000 1
Tl1 0.500 0.500 0.000 1
Sn1 0.500 0.500 0.500 1
As1 0.000 0.500 0.500 1

# 7
# Cs4Tl2SnAs2 (PBE, relaxed)
# Total DFT energy (no corrections) (eV per atom): -2.513
# ΔE_f (eV per atom): -0.13
# Volume (Å³ per cell): 853
data_Cs4Tl2SnAs2
_chemical_formula_sum 'Cs8 Tl4 Sn2 As4'
_space_group_name_H-M_alt 'C 1 2/m 1'
_space_group_IT_number 12
_cell_length_a 10.944
_cell_length_b 10.875
_cell_length_c 8.965
_cell_angle_alpha 90.00
_cell_angle_beta 126.90
_cell_angle_gamma 90.00
loop_
_space_group_symop_operation_xyz
'x,y,z'
'-x,-y,-z'
'-x,y,-z'
'x,-y,z'
'x+1/2,y+1/2,z'
'-x+1/2,-y+1/2,-z'
'-x+1/2,y+1/2,-z'
'x+1/2,-y+1/2,z'
loop_
_atom_site_label
_atom_site_fract_x
_atom_site_fract_y
_atom_site_fract_z
_atom_site_occupancy
Cs1 0.032 0.202 0.256 1
Tl1 0.174 0.500 0.116 1
Sn1 0.000 0.500 0.500 1
As1 0.235 0.500 0.856 1

# 8
# CsTlSnAs2 (PBE, relaxed)
# Total DFT energy (no corrections) (eV per atom): -3.499
# ΔE_f (eV per atom): -0.19
# Volume (Å³ per cell): 781
# Distance to the lowest polymorph of the same formula (meV/atom): 0
data_CsTlSnAs2
_chemical_formula_sum 'Cs4 Tl4 Sn4 As8'
_space_group_name_H-M_alt 'C 1 2/m 1'
_space_group_IT_number 12
_cell_length_a 18.063
_cell_length_b 4.356
_cell_length_c 10.328
_cell_angle_alpha 90.00
_cell_angle_beta 106.13
_cell_angle_gamma 90.00
loop_
_space_group_symop_operation_xyz
'x,y,z'
'-x,-y,-z'
'-x,y,-z'
'x,-y,z'
'x+1/2,y+1/2,z'
'-x+1/2,-y+1/2,-z'
'-x+1/2,y+1/2,-z'
'x+1/2,-y+1/2,z'
loop_
_atom_site_label
_atom_site_fract_x
_atom_site_fract_y
_atom_site_fract_z
_atom_site_occupancy
Cs1 0.170 0.000 0.164 1
Tl1 0.188 0.000 0.541 1
Sn1 0.067 0.500 0.661 1
As1 0.086 0.500 0.403 1
As2 0.138 0.000 0.802 1

# 9
# CsZnSnAs (PBE, relaxed)
# Total DFT energy (no corrections) (eV per atom): -2.953
# ΔE_f (eV per atom): -0.26
# Volume (Å³ per cell): 263
data_CsZnSnAs
_chemical_formula_sum 'Cs2 Zn2 Sn2 As2'
_space_group_name_H-M_alt 'P 4/n m m'
_space_group_IT_number 129
_cell_length_a 4.221
_cell_length_b 4.221
_cell_length_c 14.785
_cell_angle_alpha 90.00
_cell_angle_beta 90.00
_cell_angle_gamma 90.00
loop_
_space_group_symop_operation_xyz
'x,y,z'
'-x,-y,-z'
'-y+1/2,x,z'
'y+1/2,-x,-z'
'-x+1/2,-y+1/2,z'
'x+1/2,y+1/2,-z'
'y,-x+1/2,z'
'-y,x+1/2,-z'
'x+1/2,-y,-z'
'-x+1/2,y,z'
'-y,-x,-z'
'y,x,z'
'-x,y+1/2,-z'
'x,-y+1/2,z'
'y+1/2,x+1/2,-z'
'-y+1/2,-x+1/2,z'
loop_
_atom_site_label
_atom_site_fract_x
_atom_site_fract_y
_atom_site_fract_z
_atom_site_occupancy
Cs1 0.250 0.250 0.241 1
Zn1 0.250 0.750 0.000 1
Sn1 0.250 0.750 0.500 1
As1 0.250 0.250 0.897 1

# 10
# Cs2SrAs2 (PBE, relaxed)
# Total DFT energy (no corrections) (eV per atom): -2.987
# ΔE_f (eV per atom): -0.45
# Volume (Å³ per cell): 389
data_Cs2SrAs2
_chemical_formula_sum 'Cs4 Sr2 As4'
_space_group_name_H-M_alt 'P 4/m b m'
_space_group_IT_number 127
_space_group_name_Hall '-P 4 2ab'
_cell_length_a 8.014
_cell_length_b 8.014
_cell_length_c 6.064
_cell_angle_alpha 90.00
_cell_angle_beta 90.00
_cell_angle_gamma 90.00
loop_
_atom_site_label
_atom_site_fract_x
_atom_site_fract_y
_atom_site_fract_z
_atom_site_occupancy
Cs1 0.167 0.333 0.000 1
Sr1 0.000 0.000 0.500 1
As1 0.111 0.611 0.500 1

# 11
# CsSrAs2 (PBE, relaxed)
# Total DFT energy (no corrections) (eV per atom): -3.149
# ΔE_f (eV per atom): -0.19
# Volume (Å³ per cell): 521
data_CsSrAs2
_chemical_formula_sum 'Cs4 Sr4 As8'
_space_group_name_H-M_alt 'F m -3 m'
_space_group_IT_number 225
_space_group_name_Hall '-F 4 2 3'
_cell_length_a 8.047
_cell_length_b 8.047
_cell_length_c 8.047
_cell_angle_alpha 90.00
_cell_angle_beta 90.00
_cell_angle_gamma 90.00
loop_
_atom_site_label
_atom_site_fract_x
_atom_site_fract_y
_atom_site_fract_z
_atom_site_occupancy
Cs1 0.000 0.000 0.000 1
Sr1 0.000 0.000 0.500 1
As1 0.250 0.250 0.250 1

# 12
# CsSrAs3 (PBE, relaxed)
# Total DFT energy (no corrections) (eV per atom): -2.989
# ΔE_f (eV per atom): 0.31
# Volume (Å³ per cell): 199
# Distance to the lowest polymorph of the same formula (meV/atom): 0
data_CsSrAs3
_chemical_formula_sum 'Cs1 Sr1 As3'
_space_group_name_H-M_alt 'P m -3 m'
_space_group_IT_number 221
_space_group_name_Hall '-P 4 2 3'
_cell_length_a 5.833
_cell_length_b 5.833
_cell_length_c 5.833
_cell_angle_alpha 90.00
_cell_angle_beta 90.00
_cell_angle_gamma 90.00
loop_
_atom_site_label
_atom_site_fract_x
_atom_site_fract_y
_atom_site_fract_z
_atom_site_occupancy
Cs1 0.000 0.000 0.000 1
Sr1 0.500 0.500 0.500 1
As1 0.000 0.500 0.500 1

- Which formula does entry 3 have?
  Cs2SrSnAs

- Among the records above, which one has the highest volume?
  Cs2SnTe4As